1.
Lu4AsPC2 | PBE | relaxed

Structure (POSCAR):
```
Lu4AsPC2
1.0
3.5577 0.0000 0.0000
-1.7788 3.0811 0.0000
0.0000 0.0000 13.4210
As C Lu P
1 2 4 1
direct
0.6667 0.3333 0.0000
0.3333 0.6667 0.2545
0.3333 0.6667 0.7455
0.0000 0.0000 0.1595
0.6667 0.3333 0.3552
0.6667 0.3333 0.6448
0.0000 0.0000 0.8405
0.0000 0.0000 0.5000
```

Values from the calculation:
Its mass density is 9.4 g cm⁻³.

=====

2.
Lu4AsPbC2 | PBE | relaxed

Structure (POSCAR):
```
Lu4AsPbC2
1.0
3.5683 0.0000 0.0000
-1.7842 3.0903 0.0000
0.0000 0.0000 14.6178
As C Lu Pb
1 2 4 1
direct
0.0000 0.0000 0.0000
0.3333 0.6667 0.2327
0.3333 0.6667 0.7673
0.6667 0.3333 0.1407
0.0000 0.0000 0.3173
0.0000 0.0000 0.6827
0.6667 0.3333 0.8593
0.6667 0.3333 0.5000
```

Values from the calculation:
Its mass density is 10.4 g cm⁻³.

=====

3.
Lu4Sc2As3C3 | PBE | relaxed

Structure (POSCAR):
```
Lu4Sc2As3C3
1.0
-2.7937 -1.8342 5.0392
-1.0295 -5.8929 0.8813
13.2585 1.4074 4.2516
As C Lu Sc
6 6 8 4
direct
0.2786 0.4290 0.2499
0.8970 0.1030 0.2500
0.5710 0.7214 0.2501
0.4290 0.2786 0.7499
0.1030 0.8970 0.7500
0.7214 0.5710 0.7501
0.5000 0.0000 0.0000
0.8268 0.3365 0.0003
0.6635 0.1732 0.4997
0.0000 0.5000 0.5000
0.3365 0.8268 0.5003
0.1732 0.6635 0.9997
0.1980 0.0348 0.0973
0.8648 0.6986 0.0974
0.3014 0.1352 0.4026
0.9652 0.8020 0.4027
0.0348 0.1980 0.5973
0.6986 0.8648 0.5974
0.1352 0.3014 0.9026
0.8020 0.9652 0.9027
0.5311 0.3606 0.0875
0.6394 0.4689 0.4125
0.3606 0.5311 0.5875
0.4689 0.6394 0.9125
```

Values from the calculation:
Its mass density is 8.1 g cm⁻³.

=====

4.
Lu2Sc4As3C3 | PBE | relaxed

Structure (POSCAR):
```
Lu2Sc4As3C3
1.0
5.1643 -2.9692 0.0000
5.1643 2.9692 0.0000
-3.4503 0.0000 13.4102
As C Lu Sc
6 6 4 8
direct
0.4222 0.2119 0.2498
0.0368 0.9632 0.2500
0.7881 0.5778 0.2502
0.2119 0.4222 0.7498
0.9632 0.0368 0.7500
0.5778 0.7881 0.7502
0.0000 0.5000 0.0000
0.3309 0.8386 0.0001
0.1614 0.6691 0.4999
0.5000 0.0000 0.5000
0.8386 0.3309 0.5001
0.6691 0.1614 0.9999
0.3675 0.5345 0.1011
0.4655 0.6325 0.3989
0.5345 0.3675 0.6011
0.6325 0.4655 0.8989
0.6965 0.8614 0.0896
0.0301 0.1972 0.0896
0.8028 0.9699 0.4104
0.1386 0.3035 0.4104
0.8614 0.6965 0.5896
0.1972 0.0301 0.5896
0.9699 0.8028 0.9104
0.3035 0.1386 0.9104
```

Values from the calculation:
Its mass density is 6.4 g cm⁻³.

=====

5.
Lu4SnAsC2 | PBE | relaxed

Structure (POSCAR):
```
Lu4SnAsC2
1.0
-2.3434 2.1511 -1.5782
-0.6445 -1.2374 3.2654
6.7504 11.5390 5.7048
As C Lu Sn
1 2 4 1
direct
0.0000 0.0000 0.0000
0.3333 0.6667 0.2360
0.3333 0.6667 0.7640
0.6667 0.3333 0.1442
0.0000 0.0000 0.3228
0.0000 0.0000 0.6772
0.6667 0.3333 0.8558
0.6667 0.3333 0.5000
```

Values from the calculation:
Its mass density is 9.6 g cm⁻³.

=====

6.
Lu2Ta4As3C3 | PBE | relaxed

Structure (POSCAR):
```
Lu2Ta4As3C3
1.0
0.9081 4.7401 3.3306
-3.6167 4.5986 -0.3986
-6.2731 -7.9689 7.9141
As C Lu Ta
6 6 4 8
direct
0.2293 0.4154 0.2484
0.9372 0.0628 0.2500
0.5846 0.7707 0.2516
0.4154 0.2293 0.7484
0.0628 0.9372 0.7500
0.7707 0.5846 0.7516
0.5000 0.0000 0.0000
0.8478 0.3262 0.0000
0.1522 0.6738 0.0000
0.3262 0.8478 0.5000
0.0000 0.5000 0.5000
0.6738 0.1522 0.5000
0.5357 0.3759 0.1062
0.6241 0.4643 0.3938
0.3759 0.5357 0.6062
0.4643 0.6241 0.8938
0.2039 0.0235 0.0907
0.8566 0.6975 0.0908
0.3025 0.1434 0.4092
0.9765 0.7961 0.4093
0.0235 0.2039 0.5907
0.6975 0.8566 0.5908
0.1434 0.3025 0.9092
0.7961 0.9765 0.9093
```

Values from the calculation:
Its mass density is 12.0 g cm⁻³.

=====

Magnetization / μB/atom: 0.00, 0.00, 0.00, 0.00, 0.00, 0.00
VASP energy / eV per atom: -6.6081, -6.2935, -6.8301, -7.1482, -6.3552, -8.8504